No. 1
Computed, not measured: an optimized crystal structure of AlIn2Pt at the PBE-GGA level of DFT.

Lattice parameters (Å, degrees): 3.9819 4.1304 5.3794 90.00 111.16 90.00
Last column: nearest neighbours and their distance in Å.
Positions (direct):
Al1 0.0000 0.0000 0.0000  2 Pt 2.49
In1 0.2806 0.0000 0.5552  3 Al 2.79-3.00, 4 Pt 2.99
In2 0.5797 0.5000 0.1606  3 Pt 2.83-2.97, 4 Al 2.98
Pt1 0.8639 0.5000 0.7245  2 Al 2.49

Calculated values
Its volume is 82.5 Å³/cell. The density of states at the Fermi level is 1.6 states/eV per cell. The magnetization is 0.000 Bohr magnetons per cell. The formation energy is -315 meV/atom. Its symmetry is Pm (6).

No. 2
Computed, not measured: an optimized crystal structure of CsZnHg2F8 at the PBE-GGA level of DFT.

Lattice parameters (Å, degrees): 5.0948 5.1623 8.5880 93.85 91.17 92.37
Last column: nearest neighbours and their distance in Å.
Positions (direct):
Cs1 0.0000 0.0000 0.0000  8 F 2.89-3.16
Zn1 0.0000 0.0000 0.5000  6 F 1.97-2.14
Hg1 0.4734 0.5055 0.2972  4 F 2.07-2.27
Hg2 0.5266 0.4945 0.7028  4 F 2.07-2.27
F1 0.1442 0.2085 0.3355  1 Zn 1.97
F2 0.1759 0.2139 0.6814  1 Zn 2.02, 1 Hg 2.25
F3 0.3188 0.7416 0.4863  1 Zn 2.14, 1 Hg 2.15
F4 0.4531 0.7133 0.9073  1 Hg 2.07
F5 0.5469 0.2867 0.0927  1 Hg 2.07
F6 0.6812 0.2584 0.5137  1 Zn 2.14, 1 Hg 2.15
F7 0.8241 0.7861 0.3186  1 Zn 2.02, 1 Hg 2.25
F8 0.8558 0.7915 0.6645  1 Zn 1.97

Calculated values
The value obtained for the uncorrected formation energy is -1.76 eV per atom. Its volume is 225.1 Å³/cell. The density of states at the Fermi level is 6.2 states/eV per cell. The magnetization is 0.000 Bohr magnetons per cell. Its symmetry is P-1 (2).

No. 3
Computed, not measured: an optimized crystal structure of Ca2ZnSi at the PBE-GGA level of DFT.

Lattice parameters (Å, degrees): 6.1277 6.1277 6.1277 144.80 133.31 59.80
Last column: nearest neighbours and their distance in Å.
Positions (direct):
Ca1 0.0000 0.0000 0.0000  4 Zn 3.15, 2 Ca 3.30, 4 Si 3.37-3.48
Ca2 0.7104 0.2104 0.5000  4 Si 3.11, 2 Ca 3.30, 2 Zn 3.35
Zn1 0.4278 0.4278 0.0000  2 Si 2.53
Si1 0.2653 0.7653 0.5000  2 Zn 2.53

Calculated values
The value obtained for the uncorrected formation energy is -0.24 eV per atom. Its volume is 95.6 Å³/cell. The density of states at the Fermi level is 2.3 states/eV per cell. The magnetization is 0.000 Bohr magnetons per cell. Its symmetry is Imm2 (44).

No. 4
Computed, not measured: an optimized crystal structure of LaCd2HgF at the PBE-GGA level of DFT.

Lattice parameters (Å, degrees): 4.8951 4.8951 5.3998 90.00 90.00 90.00
Last column: nearest neighbours and their distance in Å.
Positions (direct):
La1 0.0000 0.0000 0.0000  4 Hg 3.46, 8 Cd 3.64
Cd1 0.0000 0.5000 0.5000  2 F 2.45
Cd2 0.5000 0.0000 0.5000  2 F 2.45
Hg1 0.5000 0.5000 0.0000  2 F 2.70
F1 0.5000 0.5000 0.5000  4 Cd 2.45, 2 Hg 2.70

Calculated values
The value obtained for the uncorrected formation energy is -0.57 eV per atom. Its volume is 129.4 Å³/cell. The density of states at the Fermi level is 4.0 states/eV per cell. The magnetization is 0.000 Bohr magnetons per cell. Its symmetry is P4/mmm (123).

No. 5
Computed, not measured: an optimized crystal structure of MoH2IrRu at the PBE-GGA level of DFT.

Lattice parameters (Å, degrees): 3.6075 3.6075 4.9251 90.00 90.00 90.00
Last column: nearest neighbours and their distance in Å.
Positions (direct):
Mo1 0.0000 0.0000 0.0000  4 H 1.80
H1 0.0000 0.5000 0.0000  2 Mo 1.80
H2 0.5000 0.0000 0.0000  2 Mo 1.80
Ir1 0.0000 0.0000 0.5000  2 Mo 2.46, 4 Ru 2.55
Ru1 0.5000 0.5000 0.5000  4 Ir 2.55

Calculated values
Its volume is 64.1 Å³/cell. The density of states at the Fermi level is 4.6 states/eV per cell. The magnetization is 0.825 Bohr magnetons per cell. The value obtained for the total energy is -6.21 eV/atom. Its symmetry is P4/mmm (123).

No. 6
Computed, not measured: an optimized crystal structure of KBa2Fe at the PBE-GGA level of DFT.

Lattice parameters (Å, degrees): 6.0162 6.0162 4.8956 90.00 90.00 90.69
Last column: nearest neighbours and their distance in Å.
Positions (direct):
K1 0.0000 0.0000 0.0000  8 Ba 3.88, 4 Fe 4.23-4.28
Ba1 0.0000 0.5000 0.5000  4 Fe 3.88, 4 K 3.88, 4 Ba 4.23-4.28
Ba2 0.5000 0.0000 0.5000  4 Fe 3.88, 4 K 3.88, 4 Ba 4.23-4.28
Fe1 0.5000 0.5000 0.0000  8 Ba 3.88, 4 K 4.23-4.28

Calculated values
Its volume is 177.2 Å³/cell. The density of states at the Fermi level is 7.6 states/eV per cell. The magnetization is 2.082 Bohr magnetons per cell. The formation energy is 719 meV/atom. Its symmetry is Cmmm (65).

No. 7
Computed, not measured: an optimized crystal structure of BaLiAc2Te4 at the PBE-GGA level of DFT.

Lattice parameters (Å, degrees): 8.1915 8.1915 16.3453 90.00 90.00 146.61
Last column: nearest neighbours and their distance in Å.
Positions (direct):
Ba1 0.1155 0.8845 0.7500  6 Te 3.56-3.59
Ba2 0.8845 0.1155 0.2500  6 Te 3.56-3.59
Li1 0.1521 0.8479 0.2500  4 Te 2.80
Li2 0.8479 0.1521 0.7500  4 Te 2.80
Ac1 0.3685 0.6315 0.5590  6 Te 3.28-3.40
Ac2 0.3685 0.6315 0.9410  6 Te 3.28-3.40
Ac3 0.6315 0.3685 0.0590  6 Te 3.28-3.40
Ac4 0.6315 0.3685 0.4410  6 Te 3.28-3.40
Te1 0.0000 0.0000 0.0000  4 Ac 3.28
Te2 0.0000 0.0000 0.5000  4 Ac 3.28
Te3 0.2728 0.7272 0.1236  1 Li 2.80
Te4 0.2728 0.7272 0.3764  1 Li 2.80
Te5 0.4451 0.5549 0.7500  2 Li 2.80
Te6 0.5549 0.4451 0.2500  2 Li 2.80
Te7 0.7272 0.2728 0.6236  1 Li 2.80
Te8 0.7272 0.2728 0.8764  1 Li 2.80

Calculated values
The value obtained for the uncorrected formation energy is -1.50 eV per atom. Its volume is 603.7 Å³/cell. The density of states at the Fermi level is 4.7 states/eV per cell. The magnetization is 0.000 Bohr magnetons per cell. Its symmetry is Cmcm (63).

No. 8
Computed, not measured: an optimized crystal structure of InPbF2 at the PBE-GGA level of DFT.

Lattice parameters (Å, degrees): 4.7551 4.7551 4.7551 60.00 60.00 60.00
Last column: nearest neighbours and their distance in Å.
Positions (direct):
In1 0.0000 0.0000 0.0000  8 F 2.91
Pb1 0.5000 0.5000 0.5000  8 F 2.91
F1 0.2500 0.2500 0.2500  4 Pb 2.91, 4 In 2.91
F2 0.7500 0.7500 0.7500  4 Pb 2.91, 4 In 2.91

Calculated values
The value obtained for the uncorrected formation energy is -1.36 eV per atom. Its volume is 76.0 Å³/cell. The density of states at the Fermi level is 1.4 states/eV per cell. The magnetization is 0.000 Bohr magnetons per cell. Its symmetry is Fm-3m (225).

No. 9
Computed, not measured: an optimized crystal structure of Ta2V5Mo4 at the PBE-GGA level of DFT.

Lattice parameters (Å, degrees): 2.7668 6.7005 9.1797 92.17 95.50 97.73
Last column: nearest neighbours and their distance in Å.
Positions (direct):
Ta1 0.0937 0.3148 0.4501  2 Mo 2.69-2.73, 3 V 2.72-2.84, 3 Ta 2.75-2.77
Ta2 0.9063 0.6852 0.5499  2 Mo 2.69-2.73, 3 V 2.72-2.84, 3 Ta 2.75-2.77
V1 0.0000 0.5000 0.0000  6 V 2.60-2.77, 2 Mo 2.62
V2 0.3799 0.7708 0.8254  3 Mo 2.58-2.73, 4 V 2.62-2.77, 1 Ta 2.74
V3 0.4481 0.5874 0.2611  4 V 2.60-2.77, 2 Mo 2.63-2.67, 2 Ta 2.72-2.84
V4 0.5519 0.4126 0.7389  4 V 2.60-2.77, 2 Mo 2.63-2.67, 2 Ta 2.72-2.84
V5 0.6201 0.2292 0.1746  3 Mo 2.58-2.73, 4 V 2.62-2.77, 1 Ta 2.74
Mo1 0.1853 0.1423 0.9144  4 V 2.58-2.73, 4 Mo 2.67-2.77
Mo2 0.2694 0.9498 0.3546  2 V 2.67-2.69, 4 Mo 2.67-2.86, 2 Ta 2.69-2.73
Mo3 0.7306 0.0502 0.6454  2 V 2.67-2.69, 4 Mo 2.67-2.86, 2 Ta 2.69-2.73
Mo4 0.8147 0.8577 0.0856  4 V 2.58-2.73, 4 Mo 2.67-2.77

Calculated values
Its volume is 167.6 Å³/cell. The density of states at the Fermi level is 12.9 states/eV per cell. The magnetization is 0.000 Bohr magnetons per cell. The formation energy is -52 meV/atom. Its symmetry is P-1 (2).

No. 10
Computed, not measured: an optimized crystal structure of SmSn2Au at the PBE-GGA level of DFT.

Lattice parameters (Å, degrees): 10.6300 10.6300 10.6300 19.07 19.07 19.07
Last column: nearest neighbours and their distance in Å.
Positions (direct):
Sm1 0.0000 0.0000 0.0000  2 Sn 3.17, 6 Sm 3.52
Sn1 0.1013 0.1013 0.1013  3 Au 2.89, 1 Sm 3.17
Sn2 0.8987 0.8987 0.8987  3 Au 2.89, 1 Sm 3.17
Au1 0.5000 0.5000 0.5000  6 Sn 2.89

Calculated values
Its volume is 112.1 Å³/cell. The density of states at the Fermi level is 2.6 states/eV per cell. The magnetization is 0.000 Bohr magnetons per cell. The formation energy is -26 meV/atom. Its symmetry is R-3m (166).

No. 11
Computed, not measured: an optimized crystal structure of SbSeCl9 at the PBE-GGA level of DFT.

Lattice parameters (Å, degrees): 9.9246 11.6926 13.8201 90.00 104.31 90.00
Last column: nearest neighbours and their distance in Å.
Positions (direct):
Sb1 0.0217 0.2500 0.3753  6 Cl 2.36-2.48
Sb2 0.3263 0.7500 0.1637  6 Cl 2.36-2.48
Sb3 0.6737 0.2500 0.8363  6 Cl 2.36-2.48
Sb4 0.9783 0.7500 0.6247  6 Cl 2.36-2.48
Se1 0.0529 0.2500 0.8816  3 Cl 2.19-2.20
Se2 0.3583 0.7500 0.6796  3 Cl 2.19-2.20
Se3 0.6417 0.2500 0.3204  3 Cl 2.19-2.20
Se4 0.9471 0.7500 0.1184  3 Cl 2.19-2.20
Cl1 0.1300 0.7500 0.5065  1 Sb 2.48
Cl2 0.1415 0.2500 0.2472  1 Sb 2.36
Cl3 0.1439 0.6062 0.7187  1 Sb 2.48
Cl4 0.1439 0.8938 0.7187  1 Sb 2.48
Cl5 0.1484 0.7500 0.0021  1 Sb 2.48
Cl6 0.1501 0.2500 0.7554  1 Se 2.19
Cl7 0.1576 0.1023 0.4674  1 Sb 2.36
Cl8 0.1576 0.3977 0.4674  1 Sb 2.36
Cl9 0.1703 0.1078 0.9667  1 Se 2.20
Cl10 0.1703 0.3922 0.9667  1 Se 2.20
Cl11 0.1765 0.6062 0.2173  1 Sb 2.48
Cl12 0.1765 0.8938 0.2173  1 Sb 2.48
Cl13 0.4467 0.6017 0.1035  1 Sb 2.37
Cl14 0.4467 0.8983 0.1035  1 Sb 2.37
Cl15 0.4652 0.6078 0.6265  1 Se 2.19
Cl16 0.4652 0.8922 0.6265  1 Se 2.19
Cl17 0.4768 0.7500 0.8366  1 Se 2.20
Cl18 0.4782 0.7500 0.3251  1 Sb 2.36
Cl19 0.5218 0.2500 0.6749  1 Sb 2.36
Cl20 0.5232 0.2500 0.1634  1 Se 2.20
Cl21 0.5348 0.1078 0.3735  1 Se 2.19
Cl22 0.5348 0.3922 0.3735  1 Se 2.19
Cl23 0.5533 0.1017 0.8965  1 Sb 2.37
Cl24 0.5533 0.3983 0.8965  1 Sb 2.37
Cl25 0.8235 0.1062 0.7827  1 Sb 2.48
Cl26 0.8235 0.3938 0.7827  1 Sb 2.48
Cl27 0.8297 0.6078 0.0333  1 Se 2.20
Cl28 0.8297 0.8922 0.0333  1 Se 2.20
Cl29 0.8424 0.6023 0.5326  1 Sb 2.36
Cl30 0.8424 0.8977 0.5326  1 Sb 2.36
Cl31 0.8499 0.7500 0.2446  1 Se 2.19
Cl32 0.8516 0.2500 0.9979  1 Sb 2.48
Cl33 0.8561 0.1062 0.2813  1 Sb 2.48
Cl34 0.8561 0.3938 0.2813  1 Sb 2.48
Cl35 0.8585 0.7500 0.7528  1 Sb 2.36
Cl36 0.8700 0.2500 0.4935  1 Sb 2.48

Calculated values
The value obtained for the uncorrected formation energy is -0.53 eV per atom. Its volume is 1554.0 Å³/cell. The density of states at the Fermi level is 0.0 states/eV per cell. The magnetization is 0.000 Bohr magnetons per cell. Its symmetry is P2_1/m (11).

No. 12
Computed, not measured: an optimized crystal structure of HRhW3 at the PBE-GGA level of DFT.

Lattice parameters (Å, degrees): 4.7238 4.7238 4.7238 90.00 90.00 90.00
Last column: nearest neighbours and their distance in Å.
Positions (direct):
H1 0.0000 0.0000 0.0000  12 W 3.34
Rh1 0.5000 0.5000 0.5000  6 W 2.36
W1 0.0000 0.5000 0.5000  2 Rh 2.36
W2 0.5000 0.0000 0.5000  2 Rh 2.36
W3 0.5000 0.5000 0.0000  2 Rh 2.36

Calculated values
Its volume is 105.4 Å³/cell. The density of states at the Fermi level is 6.5 states/eV per cell. The magnetization is 0.000 Bohr magnetons per cell. The value obtained for the total energy is -7.17 eV/atom. Its symmetry is Pm-3m (221).